No. 1
# CeThIn3

An optimized crystal structure of CeThIn3 (GGA-PBE, Alexandria via LeMat-Bulk).

It has space group R-3m (No. 166, hexagonal axes), with a = 6.4563 Å, b = 6.4563 Å, c = 23.6750 Å, α = 90.00°, β = 90.00° and γ = 120.00°. The inequivalent atoms are Ce at (0.0000, 0.0000, 0.0800), Th at (0.0000, 0.0000, 0.3334) and In at (0.0066, 0.5033, 0.8836).

The density of states at the Fermi level is 55.0 states/eV/cell. The calculation puts the formation enthalpy at 0 K at -0.26 eV/atom. The calculation puts the uncorrected energy at -137.20 eV for the cell shown.


No. 2
# Pu2AuC

An optimized crystal structure of Pu2AuC (GGA-PBE, Alexandria via LeMat-Bulk).

It has space group R-3m (No. 166, hexagonal axes), with a = 3.2622 Å, b = 3.2622 Å, c = 27.0377 Å, α = 90.00°, β = 90.00° and γ = 120.00°. The inequivalent atoms are Pu at (0.0000, 0.0000, 0.1118), Au at (0.0000, 0.0000, 0.0000) and C at (0.0000, 0.0000, 0.5000).

The density of states at the Fermi level is 42.0 states/eV/cell. The calculation puts the formation enthalpy at 0 K at 0.10 eV/atom. The calculation puts the uncorrected energy at -122.31 eV for the cell shown.


No. 3
# Bi2O3

An optimized crystal structure of Bi2O3 (GGA-PBE, Alexandria via LeMat-Bulk).

It has space group P-4m2 (No. 115), with a = 3.912 Å, b = 3.912 Å, c = 5.850 Å, α = 90.00°, β = 90.00° and γ = 90.00°. The inequivalent atoms are Bi at (0.000, 0.500, 0.222), O at (0.000, 0.000, 0.000), O at (0.500, 0.500, 0.000) and O at (0.500, 0.500, 0.500).

The uncorrected formation energy comes out at -102 kJ/mol of atoms. The density of states at the Fermi level is 0.9 states/eV/cell. The calculation puts the uncorrected energy at -27.92 eV for the cell shown.


No. 4
# PrZn2Ag

An optimized crystal structure of PrZn2Ag (GGA-PBE, Alexandria via LeMat-Bulk).

It has space group P4/mmm (No. 123), with a = 4.402 Å, b = 4.402 Å, c = 4.598 Å, α = 90.00°, β = 90.00° and γ = 90.00°. The inequivalent atoms are Pr at (0.000, 0.000, 0.000), Zn at (0.000, 0.500, 0.500) and Ag at (0.500, 0.500, 0.000).

The density of states at the Fermi level is 3.3 states/eV/cell. The calculation puts the formation enthalpy at 0 K at -0.10 eV/atom. The calculation puts the uncorrected energy at -10.59 eV for the cell shown.


No. 5
# BiOs4Rh2

An optimized crystal structure of BiOs4Rh2 (GGA-PBE, Alexandria via LeMat-Bulk).

It has space group I4/mmm (No. 139), with a = 4.907 Å, b = 4.907 Å, c = 12.638 Å, α = 90.00°, β = 90.00° and γ = 90.00°. The inequivalent atoms are Bi at (0.000, 0.000, 0.000), Os at (0.000, 0.000, 0.217), Os at (0.000, 0.500, 0.000) and Rh at (0.000, 0.000, 0.399).

The density of states at the Fermi level is 26.7 states/eV/cell. The calculation puts the formation enthalpy at 0 K at 2.49 eV/atom. The calculation puts the uncorrected energy at -92.18 eV for the cell shown.


No. 6
# MnBr

An optimized crystal structure of MnBr (GGA-PBE, Alexandria via LeMat-Bulk).

It has space group Pmn2_1 (No. 31), with a = 10.787 Å, b = 3.481 Å, c = 7.550 Å, α = 90.00°, β = 90.00° and γ = 90.00°. The inequivalent atoms are Mn at (0.000, 0.245, 0.000), Mn at (0.130, 0.745, 0.222), Br at (0.000, 0.750, 0.489) and Br at (0.187, 0.746, 0.894).

The uncorrected formation energy comes out at -9 kJ/mol of atoms. The density of states at the Fermi level is 4.6 states/eV/cell. The calculation puts the uncorrected energy at -66.20 eV for the cell shown.